The following is a PBE calculation of an optimized crystal structure of RuC, from the Alexandria database.

a b c (Å): 3.3435 3.3435 7.5611
angles (deg): 83.45 83.45 49.63
Fractional coordinates of all 6 atoms:
C: 0.8845 0.8845 0.0328
C: 0.7284 0.7284 0.6981
C: 0.6287 0.6287 0.3652
Ru: 0.1918 0.1918 0.9117
Ru: 0.0433 0.0433 0.5749
Ru: 0.3566 0.3566 0.2508

E above lowest polymorph ... 243 meV/atom
Formation enthalpy at 0 K ... 0.608 eV/atom
Fermi-level density of states ... 1.78 states/eV per cell